{
  "formula": "LiTiBi2",
  "functional": "PBE",
  "state": "relaxed",
  "cell": [[3.440, 0.000, 0.000], [0.000, 3.440, 0.000], [0.000, 0.000, 8.082]],
  "species": ["Li", "Ti", "Bi", "Bi"],
  "frac_coords": [[0.000, 0.000, 0.000], [0.000, 0.000, 0.500], [0.500, 0.500, 0.265], [0.500, 0.500, 0.735]],
  "e_above_lowest_polymorph_mev_per_atom": 3,
  "spacegroup": "P4/mmm, No. 123",
  "formation_energy_kcal_per_mol_atoms": -3.862,
  "total_energy_ev_per_atom": -4.560
}



{
  "formula": "SrPrPdAu",
  "functional": "PBE",
  "state": "relaxed",
  "cell": [[4.653, 0.000, 0.000], [0.000, 4.099, 0.000], [0.000, 0.000, 11.421]],
  "species": ["Sr", "Sr", "Pr", "Pr", "Pd", "Pd", "Au", "Au"],
  "frac_coords": [[0.000, 0.000, 0.000], [0.000, 0.500, 0.500], [0.500, 0.000, 0.725], [0.500, 0.500, 0.225], [0.000, 0.000, 0.273], [0.000, 0.500, 0.773], [0.500, 0.000, 0.437], [0.500, 0.500, 0.937]],
  "e_above_lowest_polymorph_mev_per_atom": 0,
  "spacegroup": "Amm2, No. 38",
  "formation_energy_kcal_per_mol_atoms": -16.725,
  "total_energy_ev_per_atom": -4.458
}



{
  "formula": "CeNdNiOs",
  "functional": "PBE",
  "state": "relaxed",
  "cell": [[6.959, 0.000, 0.000], [0.000, 6.959, 0.000], [0.000, 0.000, 6.959]],
  "species": ["Ce", "Ce", "Ce", "Ce", "Nd", "Nd", "Nd", "Nd", "Ni", "Ni", "Ni", "Ni", "Os", "Os", "Os", "Os"],
  "frac_coords": [[0.000, 0.000, 0.000], [0.000, 0.500, 0.500], [0.500, 0.000, 0.500], [0.500, 0.500, 0.000], [0.000, 0.000, 0.500], [0.000, 0.500, 0.000], [0.500, 0.000, 0.000], [0.500, 0.500, 0.500], [0.250, 0.250, 0.250], [0.250, 0.750, 0.750], [0.750, 0.250, 0.750], [0.750, 0.750, 0.250], [0.250, 0.250, 0.750], [0.250, 0.750, 0.250], [0.750, 0.250, 0.250], [0.750, 0.750, 0.750]],
  "spacegroup": "F-43m, No. 216",
  "formation_energy_kcal_per_mol_atoms": -2.904,
  "total_energy_ev_per_atom": -7.054
}



{
  "formula": "Ti2RePdBr",
  "functional": "PBE",
  "state": "relaxed",
  "cell": [[4.787, 0.000, 0.000], [0.000, 4.787, 0.000], [0.000, 0.000, 4.845]],
  "species": ["Ti", "Ti", "Re", "Pd", "Br"],
  "frac_coords": [[0.000, 0.500, 0.000], [0.500, 0.000, 0.000], [0.000, 0.000, 0.000], [0.500, 0.500, 0.500], [0.000, 0.000, 0.500]],
  "formation_energy_uncorrected_ev_per_atom": 0.950,
  "spacegroup": "P4/mmm, No. 123",
  "total_energy_ev_per_atom": -6.071
}



{
  "formula": "La3Be2SnPd9",
  "functional": "PBE",
  "state": "relaxed",
  "cell": [[5.981, 0.000, 0.000], [-2.991, 5.180, 0.000], [0.000, 0.000, 9.477]],
  "species": ["La", "La", "La", "Be", "Be", "Sn", "Pd", "Pd", "Pd", "Pd", "Pd", "Pd", "Pd", "Pd", "Pd"],
  "frac_coords": [[0.000, 0.000, 0.000], [0.333, 0.667, 0.663], [0.667, 0.333, 0.337], [0.333, 0.667, 0.144], [0.667, 0.333, 0.856], [0.000, 0.000, 0.500], [0.000, 0.500, 0.000], [0.165, 0.330, 0.282], [0.165, 0.835, 0.282], [0.330, 0.165, 0.718], [0.500, 0.000, 0.000], [0.500, 0.500, 0.000], [0.670, 0.835, 0.282], [0.835, 0.165, 0.718], [0.835, 0.670, 0.718]],
  "spacegroup": "P-3m1, No. 164",
  "formation_energy_kcal_per_mol_atoms": -15.670,
  "total_energy_ev_per_atom": -5.544
}



{
  "formula": "HoInHgPt",
  "functional": "PBE",
  "state": "relaxed",
  "cell": [[6.984, 0.000, 0.000], [0.000, 6.984, 0.000], [0.000, 0.000, 6.984]],
  "species": ["Ho", "Ho", "Ho", "Ho", "In", "In", "In", "In", "Hg", "Hg", "Hg", "Hg", "Pt", "Pt", "Pt", "Pt"],
  "frac_coords": [[0.000, 0.000, 0.000], [0.000, 0.500, 0.500], [0.500, 0.000, 0.500], [0.500, 0.500, 0.000], [0.000, 0.000, 0.500], [0.000, 0.500, 0.000], [0.500, 0.000, 0.000], [0.500, 0.500, 0.500], [0.250, 0.250, 0.250], [0.250, 0.750, 0.750], [0.750, 0.250, 0.750], [0.750, 0.750, 0.250], [0.250, 0.250, 0.750], [0.250, 0.750, 0.250], [0.750, 0.250, 0.250], [0.750, 0.750, 0.750]],
  "spacegroup": "F-43m, No. 216",
  "formation_energy_kcal_per_mol_atoms": -14.339,
  "total_energy_ev_per_atom": -4.037
}



{
  "formula": "VCoH",
  "functional": "PBE",
  "state": "relaxed",
  "cell": [[8.630, 0.000, 0.000], [0.000, 2.632, 0.000], [-0.859, 0.000, 4.474]],
  "species": ["V", "V", "V", "V", "Co", "Co", "Co", "Co", "H", "H", "H", "H"],
  "frac_coords": [[0.115, 0.000, 0.346], [0.385, 0.500, 0.654], [0.615, 0.500, 0.346], [0.885, 0.000, 0.654], [0.121, 0.500, 0.864], [0.379, 0.000, 0.136], [0.621, 0.000, 0.864], [0.879, 0.500, 0.136], [0.240, 0.000, 0.754], [0.260, 0.500, 0.246], [0.740, 0.500, 0.754], [0.760, 0.000, 0.246]],
  "e_above_lowest_polymorph_mev_per_atom": 0,
  "spacegroup": "C2/m, No. 12",
  "total_energy_ev_per_atom": -6.682
}



{
  "formula": "UPaCrNi",
  "functional": "PBE",
  "state": "relaxed",
  "cell": [[6.454, 0.000, 0.000], [0.000, 6.454, 0.000], [0.000, 0.000, 6.454]],
  "species": ["U", "U", "U", "U", "Pa", "Pa", "Pa", "Pa", "Cr", "Cr", "Cr", "Cr", "Ni", "Ni", "Ni", "Ni"],
  "frac_coords": [[0.000, 0.000, 0.000], [0.000, 0.500, 0.500], [0.500, 0.000, 0.500], [0.500, 0.500, 0.000], [0.250, 0.250, 0.250], [0.250, 0.750, 0.750], [0.750, 0.250, 0.750], [0.750, 0.750, 0.250], [0.000, 0.000, 0.500], [0.000, 0.500, 0.000], [0.500, 0.000, 0.000], [0.500, 0.500, 0.500], [0.250, 0.250, 0.750], [0.250, 0.750, 0.250], [0.750, 0.250, 0.250], [0.750, 0.750, 0.750]],
  "spacegroup": "F-43m, No. 216",
  "formation_energy_kcal_per_mol_atoms": 0.506,
  "total_energy_ev_per_atom": -9.025
}



{
  "formula": "SmScGa2Au2",
  "functional": "PBE",
  "state": "relaxed",
  "cell": [[4.492, 0.000, 0.000], [-2.246, 3.891, 0.000], [0.000, 0.000, 7.020]],
  "species": ["Sm", "Sc", "Ga", "Ga", "Au", "Au"],
  "frac_coords": [[0.000, 0.000, 0.000], [0.000, 0.000, 0.500], [0.333, 0.667, 0.716], [0.667, 0.333, 0.284], [0.333, 0.667, 0.285], [0.667, 0.333, 0.715]],
  "spacegroup": "P-3m1, No. 164",
  "formation_energy_kcal_per_mol_atoms": -17.660,
  "total_energy_ev_per_atom": -4.709
}



{
  "formula": "Ac2PmYP4",
  "functional": "PBE",
  "state": "relaxed",
  "cell": [[7.375, 0.000, 0.000], [0.000, 4.261, 0.000], [-2.456, 0.000, 6.973]],
  "species": ["Ac", "Ac", "Pm", "Y", "P", "P", "P", "P"],
  "frac_coords": [[0.000, 0.000, 0.000], [0.500, 0.500, 0.000], [0.000, 0.500, 0.500], [0.500, 0.000, 0.500], [0.247, 0.000, 0.732], [0.260, 0.500, 0.270], [0.740, 0.500, 0.730], [0.753, 0.000, 0.268]],
  "spacegroup": "P2/m, No. 10",
  "formation_energy_kcal_per_mol_atoms": -34.478,
  "total_energy_ev_per_atom": -6.629
}



Please write out number 3 again, unchanged.
{
  "formula": "CeNdNiOs",
  "functional": "PBE",
  "state": "relaxed",
  "cell": [[6.959, 0.000, 0.000], [0.000, 6.959, 0.000], [0.000, 0.000, 6.959]],
  "species": ["Ce", "Ce", "Ce", "Ce", "Nd", "Nd", "Nd", "Nd", "Ni", "Ni", "Ni", "Ni", "Os", "Os", "Os", "Os"],
  "frac_coords": [[0.000, 0.000, 0.000], [0.000, 0.500, 0.500], [0.500, 0.000, 0.500], [0.500, 0.500, 0.000], [0.000, 0.000, 0.500], [0.000, 0.500, 0.000], [0.500, 0.000, 0.000], [0.500, 0.500, 0.500], [0.250, 0.250, 0.250], [0.250, 0.750, 0.750], [0.750, 0.250, 0.750], [0.750, 0.750, 0.250], [0.250, 0.250, 0.750], [0.250, 0.750, 0.250], [0.750, 0.250, 0.250], [0.750, 0.750, 0.750]],
  "spacegroup": "F-43m, No. 216",
  "formation_energy_kcal_per_mol_atoms": -2.904,
  "total_energy_ev_per_atom": -7.054
}